{"formula": "MnCo4Si2", "functional": "GGA-PBE", "state": "optimized geometry", "formation_energy_uncorrected_ev_per_fu": -1.439, "dos_ef_per_ev_cell": 5.27, "m_tot_mub_per_fu": 3.38, "e_tot_ev_per_atom": -7.13, "lattice": [[-2.718, 2.718, 2.755], [2.718, -2.718, 2.755], [2.718, 2.718, -2.755]], "species": ["Mn", "Co", "Co", "Co", "Co", "Si", "Si"], "fractional_positions": [[0.000, 0.000, 0.000], [0.000, 0.000, 0.500], [0.000, 0.500, 0.000], [0.500, 0.000, 0.000], [0.500, 0.500, 0.500], [0.000, 0.500, 0.500], [0.500, 0.000, 0.500]]}

***

{"formula": "BaSb2S", "functional": "GGA-PBE", "state": "optimized geometry", "formation_energy_uncorrected_ev_per_fu": -1.345, "dos_ef_per_ev_cell": 4.80, "m_tot_mub_per_fu": 0.00, "e_tot_ev_per_atom": -3.91, "lattice": [[-4.665, 4.665, 3.023], [4.665, -4.665, 3.023], [4.665, 4.665, -3.023]], "species": ["Ba", "Ba", "Sb", "Sb", "Sb", "Sb", "S", "S"], "fractional_positions": [[0.000, 0.000, 0.000], [0.750, 0.250, 0.500], [0.191, 0.625, 0.066], [0.375, 0.441, 0.566], [0.559, 0.125, 0.934], [0.875, 0.809, 0.434], [0.250, 0.750, 0.500], [0.500, 0.500, 0.000]]}

***

{"formula": "Ca2NdPbN", "functional": "GGA-PBE", "state": "optimized geometry", "formation_energy_uncorrected_ev_per_fu": -4.511, "dos_ef_per_ev_cell": 0.31, "m_tot_mub_per_fu": 0.00, "e_tot_ev_per_atom": -5.06, "lattice": [[4.912, 0.000, 0.000], [0.000, 4.912, 0.000], [0.000, 0.000, 5.061]], "species": ["Ca", "Ca", "Nd", "Pb", "N"], "fractional_positions": [[0.000, 0.500, 0.000], [0.500, 0.000, 0.000], [0.000, 0.000, 0.500], [0.500, 0.500, 0.500], [0.000, 0.000, 0.000]]}

***

{"formula": "PmNbNi10", "functional": "GGA-PBE", "state": "optimized geometry", "delta_e_f_ev_per_atom": -0.16, "dos_ef_per_ev_cell": 14.99, "m_tot_mub_per_fu": 2.05, "e_tot_ev_per_atom": -6.21, "lattice": [[3.975, 0.000, 0.000], [0.000, 4.785, 0.000], [0.000, 0.000, 8.324]], "species": ["Pm", "Nb", "Ni", "Ni", "Ni", "Ni", "Ni", "Ni", "Ni", "Ni", "Ni", "Ni"], "fractional_positions": [[0.000, 0.000, 0.000], [0.000, 0.500, 0.500], [0.000, 0.000, 0.345], [0.000, 0.000, 0.655], [0.000, 0.500, 0.185], [0.000, 0.500, 0.815], [0.500, 0.000, 0.500], [0.500, 0.257, 0.262], [0.500, 0.257, 0.738], [0.500, 0.500, 0.000], [0.500, 0.743, 0.262], [0.500, 0.743, 0.738]]}

***

{"formula": "V2MoHRu", "functional": "GGA-PBE", "state": "optimized geometry", "dos_ef_per_ev_cell": 5.88, "m_tot_mub_per_fu": 0.00, "e_above_lowest_polymorph_mev_per_atom": 66, "e_tot_ev_per_atom": -8.32, "lattice": [[4.191, 0.000, 0.000], [0.000, 4.191, 0.000], [0.000, 0.000, 3.400]], "species": ["V", "V", "Mo", "H", "Ru"], "fractional_positions": [[0.000, 0.500, 0.000], [0.500, 0.000, 0.000], [0.000, 0.000, 0.500], [0.000, 0.000, 0.000], [0.500, 0.500, 0.500]]}

***

{"formula": "BeIr2W", "functional": "GGA-PBE", "state": "optimized geometry", "delta_e_f_ev_per_atom": -0.25, "dos_ef_per_ev_cell": 2.30, "m_tot_mub_per_fu": 0.00, "e_tot_ev_per_atom": -8.85, "lattice": [[-1.404, 2.213, 4.250], [1.404, -2.213, 4.250], [1.404, 2.213, -4.250]], "species": ["Be", "Ir", "Ir", "W"], "fractional_positions": [[0.000, 0.000, 0.000], [0.217, 0.717, 0.500], [0.783, 0.283, 0.500], [0.500, 0.500, 0.000]]}

***

{"formula": "CaNi2Hg", "functional": "GGA-PBE", "state": "optimized geometry", "delta_e_f_ev_per_atom": 0.09, "dos_ef_per_ev_cell": 2.27, "m_tot_mub_per_fu": 0.00, "e_above_lowest_polymorph_mev_per_atom": 186, "e_tot_ev_per_atom": -3.37, "lattice": [[3.429, 0.000, 0.000], [0.000, 3.429, 0.000], [0.000, 0.000, 6.132]], "species": ["Ca", "Ni", "Ni", "Hg"], "fractional_positions": [[0.000, 0.000, 0.000], [0.500, 0.500, 0.294], [0.500, 0.500, 0.706], [0.000, 0.000, 0.500]]}

***

{"formula": "Mg5CdAg", "functional": "GGA-PBE", "state": "optimized geometry", "delta_e_f_ev_per_atom": 0.01, "dos_ef_per_ev_cell": 5.24, "m_tot_mub_per_fu": 0.00, "e_above_lowest_polymorph_mev_per_atom": 60, "e_tot_ev_per_atom": -1.67, "lattice": [[5.631, -2.755, 0.000], [5.631, 2.755, 0.000], [-2.755, 0.000, 10.195]], "species": ["Mg", "Mg", "Mg", "Mg", "Mg", "Mg", "Mg", "Mg", "Mg", "Mg", "Cd", "Cd", "Ag", "Ag"], "fractional_positions": [[0.197, 0.257, 0.682], [0.230, 0.770, 0.750], [0.257, 0.197, 0.182], [0.336, 0.385, 0.970], [0.385, 0.336, 0.470], [0.615, 0.664, 0.530], [0.664, 0.615, 0.030], [0.743, 0.803, 0.818], [0.770, 0.230, 0.250], [0.803, 0.743, 0.318], [0.275, 0.725, 0.250], [0.725, 0.275, 0.750], [0.000, 0.000, 0.000], [0.000, 0.000, 0.500]]}

***

{"formula": "SmDyEr4", "functional": "GGA-PBE", "state": "optimized geometry", "delta_e_f_ev_per_atom": 0.75, "dos_ef_per_ev_cell": 7.38, "m_tot_mub_per_fu": 0.00, "e_above_lowest_polymorph_mev_per_atom": 679, "e_tot_ev_per_atom": -3.85, "lattice": [[3.806, -3.805, 0.000], [3.806, 3.805, 0.000], [-0.007, 0.000, 7.729]], "species": ["Sm", "Dy", "Er", "Er", "Er", "Er"], "fractional_positions": [[0.000, 0.000, 0.000], [0.500, 0.500, 0.500], [0.000, 0.500, 0.254], [0.000, 0.500, 0.746], [0.500, 0.000, 0.254], [0.500, 0.000, 0.746]]}

***

{"formula": "La2TbNd6Er3", "functional": "GGA-PBE", "state": "optimized geometry", "delta_e_f_ev_per_atom": 0.02, "dos_ef_per_ev_cell": 16.65, "m_tot_mub_per_fu": 0.00, "e_tot_ev_per_atom": -4.71, "lattice": [[3.158, -5.474, 0.000], [3.158, 5.474, 0.000], [-2.107, 0.000, 11.827]], "species": ["La", "La", "Tb", "Nd", "Nd", "Nd", "Nd", "Nd", "Nd", "Er", "Er", "Er"], "fractional_positions": [[0.167, 0.833, 0.000], [0.833, 0.167, 0.000], [0.500, 0.500, 0.000], [0.082, 0.415, 0.744], [0.253, 0.253, 0.256], [0.415, 0.082, 0.744], [0.585, 0.918, 0.256], [0.747, 0.747, 0.744], [0.918, 0.585, 0.256], [0.000, 0.000, 0.500], [0.334, 0.666, 0.500], [0.666, 0.334, 0.500]]}

***

{"formula": "NbCrFeRe", "functional": "GGA-PBE", "state": "optimized geometry", "delta_e_f_ev_per_atom": 0.03, "dos_ef_per_ev_cell": 3.69, "m_tot_mub_per_fu": 1.93, "e_tot_ev_per_atom": -10.13, "lattice": [[0.000, 3.037, 3.037], [3.037, 0.000, 3.037], [3.037, 3.037, 0.000]], "species": ["Nb", "Cr", "Fe", "Re"], "fractional_positions": [[0.000, 0.000, 0.000], [0.250, 0.250, 0.250], [0.750, 0.750, 0.750], [0.500, 0.500, 0.500]]}

***

{"formula": "Ho3Tm4Sc2", "functional": "GGA-PBE", "state": "optimized geometry", "delta_e_f_ev_per_atom": 0.09, "dos_ef_per_ev_cell": 24.60, "m_tot_mub_per_fu": 0.00, "e_above_lowest_polymorph_mev_per_atom": 0, "e_tot_ev_per_atom": -4.83, "lattice": [[8.306, -4.855, 0.000], [8.306, 4.855, 0.000], [-0.374, 0.000, 6.582]], "species": ["Ho", "Ho", "Ho", "Ho", "Ho", "Ho", "Tm", "Tm", "Tm", "Tm", "Tm", "Tm", "Tm", "Tm", "Sc", "Sc", "Sc", "Sc"], "fractional_positions": [[0.011, 0.989, 0.750], [0.302, 0.393, 0.761], [0.393, 0.302, 0.261], [0.607, 0.698, 0.739], [0.698, 0.607, 0.239], [0.989, 0.011, 0.250], [0.064, 0.312, 0.409], [0.302, 0.664, 0.486], [0.312, 0.064, 0.909], [0.336, 0.698, 0.014], [0.664, 0.302, 0.986], [0.688, 0.936, 0.091], [0.698, 0.336, 0.514], [0.936, 0.688, 0.591], [0.048, 0.623, 0.108], [0.377, 0.952, 0.392], [0.623, 0.048, 0.608], [0.952, 0.377, 0.892]]}

***

{"formula": "LaGe4Pt6", "functional": "GGA-PBE", "state": "optimized geometry", "delta_e_f_ev_per_atom": -0.60, "dos_ef_per_ev_cell": 5.35, "m_tot_mub_per_fu": 0.00, "e_tot_ev_per_atom": -6.02, "lattice": [[-3.417, 3.417, 4.497], [3.417, -3.417, 4.497], [3.417, 3.417, -4.497]], "species": ["La", "Ge", "Ge", "Ge", "Ge", "Pt", "Pt", "Pt", "Pt", "Pt", "Pt"], "fractional_positions": [[0.000, 0.000, 0.000], [0.136, 0.541, 0.000], [0.459, 0.459, 0.595], [0.541, 0.136, 0.000], [0.864, 0.864, 0.405], [0.000, 0.500, 0.500], [0.222, 0.222, 0.686], [0.464, 0.778, 0.000], [0.500, 0.000, 0.500], [0.536, 0.536, 0.314], [0.778, 0.464, 0.000]]}

***

{"formula": "Li4MnCl", "functional": "GGA-PBE", "state": "optimized geometry", "formation_energy_uncorrected_ev_per_fu": 1.101, "dos_ef_per_ev_cell": 3.52, "m_tot_mub_per_fu": 5.49, "e_tot_ev_per_atom": -2.93, "lattice": [[0.000, 3.963, 3.963], [3.963, 0.000, 3.963], [3.963, 3.963, 0.000]], "species": ["Li", "Li", "Li", "Li", "Mn", "Cl"], "fractional_positions": [[0.124, 0.124, 0.124], [0.124, 0.124, 0.628], [0.124, 0.628, 0.124], [0.628, 0.124, 0.124], [0.750, 0.750, 0.750], [0.500, 0.500, 0.500]]}

***

{"formula": "K2ZrAl", "functional": "GGA-PBE", "state": "optimized geometry", "delta_e_f_ev_per_atom": 0.49, "dos_ef_per_ev_cell": 3.20, "m_tot_mub_per_fu": 0.00, "e_tot_ev_per_atom": -3.13, "lattice": [[4.801, -1.598, 0.000], [4.801, 1.598, 0.000], [-0.540, 0.000, 9.810]], "species": ["K", "K", "Zr", "Al"], "fractional_positions": [[0.000, 0.000, 0.000], [0.232, 0.232, 0.616], [0.467, 0.467, 0.348], [0.737, 0.737, 0.243]]}

***

{"formula": "RbRh5S8", "functional": "GGA-PBE", "state": "optimized geometry", "formation_energy_uncorrected_ev_per_fu": -7.534, "m_tot_mub_per_fu": 0.00, "e_tot_ev_per_atom": -5.59, "lattice": [[9.167, -1.775, 0.000], [9.167, 1.775, 0.000], [-2.474, 0.000, 8.282]], "species": ["Rb", "Rh", "Rh", "Rh", "Rh", "Rh", "S", "S", "S", "S", "S", "S", "S", "S"], "fractional_positions": [[0.000, 0.000, 0.000], [0.158, 0.158, 0.467], [0.201, 0.201, 0.827], [0.500, 0.500, 0.500], [0.798, 0.798, 0.173], [0.841, 0.841, 0.533], [0.078, 0.078, 0.631], [0.263, 0.263, 0.348], [0.323, 0.323, 0.017], [0.415, 0.415, 0.670], [0.585, 0.585, 0.330], [0.676, 0.676, 0.983], [0.737, 0.737, 0.652], [0.921, 0.921, 0.369]]}

***

{"formula": "MgScP2", "functional": "GGA-PBE", "state": "optimized geometry", "delta_e_f_ev_per_atom": -0.04, "dos_ef_per_ev_cell": 1.83, "m_tot_mub_per_fu": 0.00, "e_tot_ev_per_atom": -4.73, "lattice": [[2.947, 0.000, 0.000], [0.000, 2.947, 0.000], [0.000, 0.000, 9.245]], "species": ["Mg", "Sc", "P", "P"], "fractional_positions": [[0.000, 0.000, 0.000], [0.500, 0.500, 0.709], [0.000, 0.000, 0.523], [0.500, 0.500, 0.184]]}

***

{"formula": "BaNaCrPt2", "functional": "GGA-PBE", "state": "optimized geometry", "delta_e_f_ev_per_atom": 0.42, "dos_ef_per_ev_cell": 4.88, "m_tot_mub_per_fu": 0.69, "e_tot_ev_per_atom": -4.57, "lattice": [[4.799, 0.000, 0.000], [0.000, 4.799, 0.000], [0.000, 0.000, 5.402]], "species": ["Ba", "Na", "Cr", "Pt", "Pt"], "fractional_positions": [[0.000, 0.000, 0.000], [0.500, 0.500, 0.000], [0.000, 0.000, 0.500], [0.000, 0.500, 0.500], [0.500, 0.000, 0.500]]}

***

{"formula": "Cd5InO5", "functional": "GGA-PBE", "state": "optimized geometry", "formation_energy_uncorrected_ev_per_fu": -9.539, "dos_ef_per_ev_cell": 2.35, "m_tot_mub_per_fu": 0.00, "e_tot_ev_per_atom": -3.79, "lattice": [[5.698, -2.235, 0.000], [5.698, 2.235, 0.000], [-2.922, 0.000, 6.627]], "species": ["Cd", "Cd", "Cd", "Cd", "Cd", "In", "O", "O", "O", "O", "O"], "fractional_positions": [[0.000, 0.000, 0.000], [0.328, 0.328, 0.672], [0.364, 0.364, 0.133], [0.636, 0.636, 0.867], [0.672, 0.672, 0.328], [0.000, 0.000, 0.500], [0.142, 0.142, 0.370], [0.172, 0.172, 0.811], [0.500, 0.500, 0.500], [0.828, 0.828, 0.189], [0.858, 0.858, 0.630]]}

***

{"formula": "Li2Tl2Sn", "functional": "GGA-PBE", "state": "optimized geometry", "delta_e_f_ev_per_atom": -0.13, "dos_ef_per_ev_cell": 4.63, "m_tot_mub_per_fu": 0.00, "e_above_lowest_polymorph_mev_per_atom": 51, "e_tot_ev_per_atom": -2.64, "lattice": [[8.235, 0.000, 0.000], [0.000, 8.235, 0.000], [0.000, 0.000, 3.438]], "species": ["Li", "Li", "Li", "Li", "Tl", "Tl", "Tl", "Tl", "Sn", "Sn"], "fractional_positions": [[0.165, 0.335, 0.000], [0.335, 0.835, 0.000], [0.665, 0.165, 0.000], [0.835, 0.665, 0.000], [0.136, 0.636, 0.500], [0.364, 0.136, 0.500], [0.636, 0.864, 0.500], [0.864, 0.364, 0.500], [0.000, 0.000, 0.500], [0.500, 0.500, 0.500]]}

***

{"formula": "Mn2ReCl", "functional": "GGA-PBE", "state": "optimized geometry", "formation_energy_uncorrected_ev_per_fu": 1.451, "dos_ef_per_ev_cell": 2.47, "m_tot_mub_per_fu": 4.44, "e_above_lowest_polymorph_mev_per_atom": 263, "e_tot_ev_per_atom": -7.80, "lattice": [[2.921, 0.000, 0.000], [0.000, 2.921, 0.000], [0.000, 0.000, 7.211]], "species": ["Mn", "Mn", "Re", "Cl"], "fractional_positions": [[0.000, 0.000, 0.000], [0.500, 0.500, 0.241], [0.000, 0.000, 0.417], [0.500, 0.500, 0.761]]}

***

{"formula": "Ac2DyNb", "functional": "GGA-PBE", "state": "optimized geometry", "delta_e_f_ev_per_atom": 0.79, "dos_ef_per_ev_cell": 6.41, "m_tot_mub_per_fu": 0.00, "e_tot_ev_per_atom": -4.94, "lattice": [[1.773, 1.024, 12.243], [-1.773, 1.024, 12.243], [0.000, -2.048, 12.243]], "species": ["Ac", "Ac", "Dy", "Nb"], "fractional_positions": [[0.082, 0.082, 0.082], [0.918, 0.918, 0.918], [0.500, 0.500, 0.500], [0.000, 0.000, 0.000]]}

***

{"formula": "Ti3ReGe4", "functional": "GGA-PBE", "state": "optimized geometry", "delta_e_f_ev_per_atom": -0.01, "dos_ef_per_ev_cell": 6.78, "m_tot_mub_per_fu": 0.00, "e_tot_ev_per_atom": -6.84, "lattice": [[6.818, -1.501, 0.000], [6.818, 1.501, 0.000], [-5.575, 0.000, 6.925]], "species": ["Ti", "Ti", "Ti", "Re", "Ge", "Ge", "Ge", "Ge"], "fractional_positions": [[0.000, 0.000, 0.000], [0.377, 0.377, 0.642], [0.623, 0.623, 0.358], [0.500, 0.500, 0.500], [0.086, 0.086, 0.802], [0.246, 0.246, 0.265], [0.754, 0.754, 0.735], [0.914, 0.914, 0.198]]}

***

{"formula": "Li3Cu2O4", "functional": "GGA-PBE", "state": "optimized geometry", "formation_energy_uncorrected_ev_per_fu": -9.924, "dos_ef_per_ev_cell": 4.03, "m_tot_mub_per_fu": 3.04, "e_above_lowest_polymorph_mev_per_atom": 166, "e_tot_ev_per_atom": -4.85, "lattice": [[4.843, -1.524, 0.000], [4.843, 1.524, 0.000], [-3.785, 0.000, 6.175]], "species": ["Li", "Li", "Li", "Cu", "Cu", "O", "O", "O", "O"], "fractional_positions": [[0.000, 0.000, 0.000], [0.209, 0.209, 0.834], [0.791, 0.791, 0.166], [0.395, 0.395, 0.624], [0.605, 0.605, 0.376], [0.223, 0.223, 0.327], [0.411, 0.411, 0.123], [0.589, 0.589, 0.877], [0.777, 0.777, 0.673]]}

***

{"formula": "TlSbAu2", "functional": "GGA-PBE", "state": "optimized geometry", "formation_energy_uncorrected_ev_per_fu": 1.003, "dos_ef_per_ev_cell": 4.25, "m_tot_mub_per_fu": 0.00, "e_above_lowest_polymorph_mev_per_atom": 319, "e_tot_ev_per_atom": -3.01, "lattice": [[0.000, 3.587, 3.587], [3.587, 0.000, 3.587], [3.587, 3.587, 0.000]], "species": ["Tl", "Sb", "Au", "Au"], "fractional_positions": [[0.000, 0.000, 0.000], [0.250, 0.250, 0.250], [0.500, 0.500, 0.500], [0.750, 0.750, 0.750]]}